(1)
# La2CuTcH

La2CuTcH after structural relaxation (GGA-PBE, Alexandria via LeMat-Bulk).

Cell lengths 5.2184, 5.2184, 3.6296 Å; angles 90.00, 90.00, 90.00 degrees
Sites, in units of the cell vectors:
1 Tc 0.0000 0.0000 0.5000
2 H 0.0000 0.0000 0.0000
3 La 0.0000 0.5000 0.0000
4 Cu 0.5000 0.5000 0.5000
5 La 0.5000 0.0000 0.0000

The magnetic moment is 0.00 μB per atom. Its crystal system is tetragonal. For the energy, the calculation gives -28.20 eV/cell. The theoretical density comes out at 7.40 g/cm³. For the volume, the calculation gives 19.77 Å³ per atom.



(2)
# La2TlCuH

La2TlCuH after structural relaxation (GGA-PBE, Alexandria via LeMat-Bulk).

Cell lengths 5.2175, 5.2175, 4.1640 Å; angles 90.00, 90.00, 90.00 degrees
Sites, in units of the cell vectors:
1 Tl 0.5000 0.5000 0.5000
2 La 0.5000 0.0000 0.0000
3 La 0.0000 0.5000 0.0000
4 H 0.0000 0.0000 0.0000
5 Cu 0.0000 0.0000 0.5000

The magnetic moment is 0.05 μB per atom. Its crystal system is tetragonal. For the energy, the calculation gives -21.08 eV/cell. The theoretical density comes out at 8.01 g/cm³. For the volume, the calculation gives 22.67 Å³ per atom.



(3)
# LaV2CuH

LaV2CuH after structural relaxation (GGA-PBE, Alexandria via LeMat-Bulk).

Cell lengths 4.6811, 4.6811, 5.1087 Å; angles 90.00, 90.00, 90.00 degrees
Sites, in units of the cell vectors:
1 V 0.5000 0.0000 0.0000
2 H 0.5000 0.5000 0.5000
3 V 0.0000 0.5000 0.0000
4 Cu 0.0000 0.0000 0.5000
5 La 0.0000 0.0000 0.0000

The magnetic moment is 0.20 μB per atom. Its crystal system is tetragonal. For the energy, the calculation gives -18.89 eV/cell. The theoretical density comes out at 4.53 g/cm³. For the volume, the calculation gives 22.39 Å³ per atom.



(4)
# La2ZnCuH

La2ZnCuH after structural relaxation (GGA-PBE, Alexandria via LeMat-Bulk).

Cell lengths 5.1132, 5.1132, 3.9671 Å; angles 90.00, 90.00, 90.00 degrees
Sites, in units of the cell vectors:
1 Cu 0.5000 0.5000 0.5000
2 La 0.0000 0.5000 0.0000
3 Zn 0.0000 0.0000 0.5000
4 H 0.0000 0.0000 0.0000
5 La 0.5000 0.0000 0.0000

The magnetic moment is 0.02 μB per atom. Its crystal system is tetragonal. The theoretical density comes out at 6.53 g/cm³. For the volume, the calculation gives 20.74 Å³ per atom. The value obtained for the energy above the most stable polymorph in this dataset is 0.056 eV/atom.



(5)
# La2ZnCuH

La2ZnCuH after structural relaxation (GGA-PBE, Alexandria via LeMat-Bulk).

Cell lengths 5.1565, 5.1565, 3.8768 Å; angles 90.00, 90.00, 90.00 degrees
Sites, in units of the cell vectors:
1 Cu 0.0000 0.0000 0.5000
2 La 0.0000 0.5000 0.0000
3 H 0.0000 0.0000 0.0000
4 Zn 0.5000 0.5000 0.5000
5 La 0.5000 0.0000 0.0000

The magnetic moment is 0.00 μB per atom. Its crystal system is tetragonal. The theoretical density comes out at 6.57 g/cm³. For the volume, the calculation gives 20.62 Å³ per atom. The value obtained for the energy above the most stable polymorph in this dataset is 0.000 eV/atom.



(6)
# Li2CuH3

Li2CuH3 after structural relaxation (GGA-PBE, Alexandria via LeMat-Bulk).

Cell lengths 4.8248, 5.0151, 10.0093 Å; angles 88.88, 87.67, 61.25 degrees
Sites, in units of the cell vectors:
1 Li 0.3206 0.7827 0.0749
2 Li 0.0573 0.3947 0.1407
3 Cu 0.2871 0.0012 0.3356
4 H 0.6149 0.7702 0.2500
5 Cu 0.7117 0.0012 0.1644
6 H 0.1600 0.3461 0.3879
7 H 0.6961 0.2188 0.5396
8 Li 0.9427 0.6053 0.8593
9 H 0.9149 0.7812 0.0396
10 H 0.4938 0.3461 0.1121
11 Cu 0.7129 0.9988 0.6644
12 Li 0.5480 0.3947 0.3593
13 Li 0.8968 0.7827 0.4251
14 H 0.0851 0.2188 0.9604
15 H 0.8400 0.6539 0.6121
16 Cu 0.2883 0.9988 0.8356
17 Li 0.6794 0.2173 0.9251
18 H 0.9769 0.0462 0.2500
19 H 0.5062 0.6539 0.8879
20 H 0.3039 0.7812 0.4604
21 Li 0.1032 0.2173 0.5749
22 H 0.0231 0.9538 0.7500
23 H 0.3851 0.2298 0.7500
24 Li 0.4520 0.6053 0.6407

The magnetic moment is 0.00 μB per atom. Its crystal system is monoclinic. The theoretical density comes out at 2.52 g/cm³. For the volume, the calculation gives 8.84 Å³ per atom. The value obtained for the energy above the most stable polymorph in this dataset is 0.000 eV/atom.



(7)
# LiCu2H3

LiCu2H3 after structural relaxation (GGA-PBE, Alexandria via LeMat-Bulk).

Cell lengths 4.7498, 5.0088, 5.0088 Å; angles 90.41, 90.00, 90.00 degrees
Sites, in units of the cell vectors:
1 Cu 0.0000 0.1764 0.1764
2 H 0.7500 0.2302 0.4018
3 Cu 0.5000 0.1764 0.1764
4 H 0.2500 0.4018 0.2302
5 H 0.7500 0.0941 0.9059
6 H 0.2500 0.9059 0.0941
7 H 0.2500 0.7698 0.5982
8 Cu 0.5000 0.8236 0.8236
9 Li 0.2500 0.3458 0.6542
10 Cu 0.0000 0.8236 0.8236
11 Li 0.7500 0.6542 0.3458
12 H 0.7500 0.5982 0.7698

The magnetic moment is 0.00 μB per atom. Its crystal system is orthorhombic. The theoretical density comes out at 3.82 g/cm³. For the volume, the calculation gives 9.93 Å³ per atom. The value obtained for the energy above the most stable polymorph in this dataset is 0.064 eV/atom.



(8)
# LiCu3H

LiCu3H after structural relaxation (GGA-PBE, Alexandria via LeMat-Bulk).

Cell lengths 3.7212, 3.7212, 3.7212 Å; angles 90.00, 90.00, 90.00 degrees
Sites, in units of the cell vectors:
1 H 0.0000 0.0000 0.0000
2 Li 0.5000 0.5000 0.5000
3 Cu 0.0000 0.5000 0.0000
4 Cu 0.5000 0.0000 0.0000
5 Cu 0.0000 0.0000 0.5000

The magnetic moment is 0.00 μB per atom. Its crystal system is cubic. The theoretical density comes out at 6.40 g/cm³. For the volume, the calculation gives 10.31 Å³ per atom. The value obtained for the energy above the most stable polymorph in this dataset is 0.000 eV/atom.



(9)
# Li2CuH6

Li2CuH6 after structural relaxation (GGA-PBE, Alexandria via LeMat-Bulk).

Cell lengths 4.4668, 4.4668, 4.4668 Å; angles 60.00, 60.00, 60.00 degrees
Sites, in units of the cell vectors:
1 Cu 0.0000 0.0000 0.0000
2 H 0.2499 0.2499 0.7501
3 H 0.2499 0.7501 0.7501
4 H 0.7501 0.2499 0.7501
5 H 0.2499 0.7501 0.2499
6 H 0.7501 0.2499 0.2499
7 Li 0.2500 0.2500 0.2500
8 H 0.7501 0.7501 0.2499
9 Li 0.7500 0.7500 0.7500

The magnetic moment is 0.00 μB per atom. Its crystal system is cubic. For the energy, the calculation gives -27.63 eV/cell. The theoretical density comes out at 2.20 g/cm³. For the volume, the calculation gives 7.00 Å³ per atom.



(10)
# LiCuH2

LiCuH2 after structural relaxation (GGA-PBE, Alexandria via LeMat-Bulk).

Cell lengths 2.8910, 2.8910, 4.6647 Å; angles 90.00, 90.00, 120.00 degrees
Sites, in units of the cell vectors:
1 Cu 0.0000 0.0000 0.0068
2 H 0.0000 0.0000 0.3634
3 Li 0.6667 0.3333 0.4853
4 H 0.6667 0.3333 0.8944

The magnetic moment is 0.00 μB per atom. Its crystal system is trigonal. The theoretical density comes out at 3.57 g/cm³. For the volume, the calculation gives 8.44 Å³ per atom. The value obtained for the energy above the most stable polymorph in this dataset is 0.034 eV/atom.



(11)
# Li4CuH2

Li4CuH2 after structural relaxation (GGA-PBE, Alexandria via LeMat-Bulk).

Cell lengths 4.5870, 4.5870, 6.1968 Å; angles 68.28, 68.28, 90.00 degrees
Sites, in units of the cell vectors:
1 Li 0.5000 0.0000 0.0000
2 Cu 0.0000 0.0000 0.0000
3 H 0.4045 0.4045 0.1911
4 Li 0.2395 0.2395 0.5210
5 H 0.5955 0.5955 0.8089
6 Li 0.0000 0.5000 0.0000
7 Li 0.7605 0.7605 0.4790

The magnetic moment is 0.00 μB per atom. Its crystal system is tetragonal. For the energy, the calculation gives -16.65 eV/cell. The theoretical density comes out at 1.39 g/cm³. For the volume, the calculation gives 15.87 Å³ per atom.



(12)
# Li4CuH5

Li4CuH5 after structural relaxation (GGA-PBE, Alexandria via LeMat-Bulk).

Cell lengths 2.7968, 2.7968, 11.6100 Å; angles 83.08, 83.08, 60.00 degrees
Sites, in units of the cell vectors:
1 H 0.8030 0.8030 0.5910
2 Li 0.8994 0.8994 0.3018
3 Cu 0.5000 0.5000 0.5000
4 Li 0.7001 0.7001 0.8997
5 H 0.0000 0.0000 0.0000
6 H 0.4004 0.4004 0.7989
7 Li 0.1006 0.1006 0.6982
8 H 0.5996 0.5996 0.2011
9 Li 0.2999 0.2999 0.1003
10 H 0.1970 0.1970 0.4090

The magnetic moment is 0.00 μB per atom. Its crystal system is trigonal. For the energy, the calculation gives -31.35 eV/cell. The theoretical density comes out at 2.05 g/cm³. For the volume, the calculation gives 7.79 Å³ per atom.



(13)
# Li2CuH

Li2CuH after structural relaxation (GGA-PBE, Alexandria via LeMat-Bulk).

Cell lengths 2.6226, 2.6226, 7.2781 Å; angles 79.62, 79.62, 60.00 degrees
Sites, in units of the cell vectors:
1 Li 0.8882 0.8882 0.3355
2 Li 0.1118 0.1118 0.6645
3 H 0.5000 0.5000 0.5000
4 Cu 0.0000 0.0000 0.0000

The magnetic moment is 0.00 μB per atom. Its crystal system is trigonal. The theoretical density comes out at 3.07 g/cm³. For the volume, the calculation gives 10.60 Å³ per atom. The value obtained for the energy above the most stable polymorph in this dataset is 0.074 eV/atom.



(14)
# LiCuH2

LiCuH2 after structural relaxation (GGA-PBE, Alexandria via LeMat-Bulk).

Cell lengths 2.7605, 2.7605, 4.8268 Å; angles 73.38, 73.38, 60.00 degrees
Sites, in units of the cell vectors:
1 Li 0.5000 0.5000 0.5000
2 H 0.2563 0.2563 0.2310
3 H 0.7437 0.7437 0.7690
4 Cu 0.0000 0.0000 0.0000

The magnetic moment is 0.00 μB per atom. Its crystal system is trigonal. The theoretical density comes out at 4.00 g/cm³. For the volume, the calculation gives 7.52 Å³ per atom. The value obtained for the energy above the most stable polymorph in this dataset is 0.111 eV/atom.



(15)
# Li4Cu2H

Li4Cu2H after structural relaxation (GGA-PBE, Alexandria via LeMat-Bulk).

Cell lengths 3.6850, 3.6850, 7.0536 Å; angles 74.86, 74.86, 90.00 degrees
Sites, in units of the cell vectors:
1 Cu 0.3367 0.3367 0.3266
2 H 0.0000 0.0000 0.0000
3 Li 0.8507 0.8507 0.2986
4 Cu 0.6633 0.6633 0.6734
5 Li 0.5000 0.0000 0.0000
6 Li 0.1493 0.1493 0.7014
7 Li 0.0000 0.5000 0.0000

The magnetic moment is 0.00 μB per atom. Its crystal system is tetragonal. For the energy, the calculation gives -18.98 eV/cell. The theoretical density comes out at 2.91 g/cm³. For the volume, the calculation gives 12.72 Å³ per atom.



(16)
# Li2CuH3

Li2CuH3 after structural relaxation (GGA-PBE, Alexandria via LeMat-Bulk).

Cell lengths 5.2713, 5.2897, 5.2572 Å; angles 118.70, 120.09, 90.00 degrees
Sites, in units of the cell vectors:
1 H 0.7678 0.9593 0.6743
2 Cu 0.0782 0.2500 0.0000
3 H 0.6098 0.7500 0.0000
4 H 0.0935 0.5407 0.3257
5 H 0.2322 0.0407 0.3257
6 Li 0.5860 0.0950 0.3391
7 Li 0.7531 0.5950 0.3391
8 H 0.3902 0.2500 0.0000
9 H 0.9065 0.4593 0.6743
10 Li 0.4140 0.9050 0.6609
11 Li 0.2469 0.4050 0.6609
12 Cu 0.9218 0.7500 0.0000

The magnetic moment is 0.00 μB per atom. Its crystal system is monoclinic. The theoretical density comes out at 2.53 g/cm³. For the volume, the calculation gives 8.79 Å³ per atom. The value obtained for the energy above the most stable polymorph in this dataset is 0.021 eV/atom.



(17)
# Li2CuH4

Li2CuH4 after structural relaxation (GGA-PBE, Alexandria via LeMat-Bulk).

Cell lengths 3.3796, 3.3796, 5.5724 Å; angles 72.35, 72.35, 90.00 degrees
Sites, in units of the cell vectors:
1 Li 0.6390 0.6390 0.7219
2 H 0.8342 0.8342 0.3317
3 Li 0.3610 0.3610 0.2781
4 Cu 0.0000 0.0000 0.0000
5 H 0.0000 0.5000 0.0000
6 H 0.1658 0.1658 0.6683
7 H 0.5000 0.0000 0.0000

The magnetic moment is 0.00 μB per atom. Its crystal system is tetragonal. The theoretical density comes out at 2.35 g/cm³. For the volume, the calculation gives 8.21 Å³ per atom. The value obtained for the energy above the most stable polymorph in this dataset is 0.000 eV/atom.



(18)
# Li2CuH

Li2CuH after structural relaxation (GGA-PBE, Alexandria via LeMat-Bulk).

Cell lengths 2.6465, 2.6465, 6.9432 Å; angles 79.01, 79.01, 60.00 degrees
Sites, in units of the cell vectors:
1 Cu 0.5002 0.5002 0.4994
2 Li 0.2754 0.2754 0.1739
3 Li 0.0582 0.0582 0.8254
4 H 0.6663 0.6663 0.0012

The magnetic moment is 0.00 μB per atom. Its crystal system is trigonal. The theoretical density comes out at 3.17 g/cm³. For the volume, the calculation gives 10.27 Å³ per atom. The value obtained for the energy above the most stable polymorph in this dataset is 0.000 eV/atom.



(19)
# LiCuH2

LiCuH2 after structural relaxation (GGA-PBE, Alexandria via LeMat-Bulk).

Cell lengths 4.8490, 4.6416, 5.2644 Å; angles 121.71, 122.64, 84.48 degrees
Sites, in units of the cell vectors:
1 Cu 0.0405 0.2606 0.0240
2 Li 0.3907 0.0409 0.7136
3 Li 0.6093 0.9591 0.2864
4 H 0.6931 0.3527 0.7457
5 H 0.1341 0.8860 0.8302
6 H 0.3069 0.6473 0.2543
7 Cu 0.9595 0.7394 0.9760
8 H 0.8659 0.1140 0.1698

The magnetic moment is 0.00 μB per atom. Its crystal system is triclinic. The theoretical density comes out at 2.94 g/cm³. For the volume, the calculation gives 10.24 Å³ per atom. The value obtained for the energy above the most stable polymorph in this dataset is 0.071 eV/atom.



(20)
# LiCu2H3

LiCu2H3 after structural relaxation (GGA-PBE, Alexandria via LeMat-Bulk).

Cell lengths 2.9497, 3.6557, 9.0474 Å; angles 90.00, 90.00, 90.00 degrees
Sites, in units of the cell vectors:
1 Cu 0.7500 0.5000 0.8125
2 Li 0.7499 0.5000 0.5000
3 Cu 0.7500 0.5000 0.1875
4 Cu 0.2500 0.0000 0.3125
5 H 0.2497 0.0000 0.5000
6 H 0.7503 0.5000 0.0000
7 H 0.2500 0.5000 0.6976
8 H 0.2500 0.5000 0.3024
9 H 0.7500 0.0000 0.8024
10 Li 0.2501 0.0000 0.0000
11 Cu 0.2500 0.0000 0.6875
12 H 0.7500 0.0000 0.1976

The magnetic moment is 0.00 μB per atom. Its crystal system is orthorhombic. The theoretical density comes out at 4.67 g/cm³. For the volume, the calculation gives 8.13 Å³ per atom. The value obtained for the energy above the most stable polymorph in this dataset is 0.000 eV/atom.